(1)
## ScAlBr2 (SCAN)

Data for a crystal of ScAlBr2 relaxed with PBEsol.

The space group is Immm (No. 71) and the conventional cell measures 3.415, 4.856 and 13.402 Å, with angles of 90.00, 90.00 and 90.00 degrees. The asymmetric unit holds Sc at (0.000, 0.000, 0.000), Al at (0.000, 0.000, 0.500) and Br at (0.000, 0.500, 0.344).

The uncorrected formation energy comes out at -769 meV per atom. For the distance to the lowest polymorph of the same formula, the calculation gives 0 meV/atom. The density of states at the Fermi level comes out at 3.296 states/eV per cell.


(2)
## Al2SeBr (SCAN)

Data for a crystal of Al2SeBr relaxed with PBEsol.

The space group is Cmmm (No. 65) and the conventional cell measures 3.676, 6.091 and 7.917 Å, with angles of 90.00, 90.00 and 90.00 degrees. The asymmetric unit holds Al at (0.000, 0.000, 0.228), Se at (0.000, 0.500, 0.000) and Br at (0.000, 0.500, 0.500).

The uncorrected formation energy comes out at -19 meV per atom. For the distance to the lowest polymorph of the same formula, the calculation gives 174 meV/atom. The density of states at the Fermi level comes out at 4.110 states/eV per cell.


(3)
## AlSeBr2 (SCAN)

Data for a crystal of AlSeBr2 relaxed with PBEsol.

The space group is Fm-3m (No. 225) and the conventional cell measures 7.016, 7.016 and 7.016 Å, with angles of 90.00, 90.00 and 90.00 degrees. The asymmetric unit holds Al at (0.000, 0.000, 0.000), Se at (0.000, 0.000, 0.500) and Br at (0.250, 0.250, 0.250).

The uncorrected formation energy comes out at 433 meV per atom. The density of states at the Fermi level comes out at 9.750 states/eV per cell.


(4)
## Al2SeBr (SCAN)

Data for a crystal of Al2SeBr relaxed with PBEsol.

The space group is Imm2 (No. 44) and the conventional cell measures 3.438, 5.907 and 8.797 Å, with angles of 90.00, 90.00 and 90.00 degrees. The asymmetric unit holds Al at (0.000, 0.000, 0.000), Al at (0.000, 0.500, 0.249), Se at (0.000, 0.500, 0.696) and Br at (0.000, 0.000, 0.520).

The uncorrected formation energy comes out at -194 meV per atom. For the distance to the lowest polymorph of the same formula, the calculation gives 0 meV/atom. The density of states at the Fermi level comes out at 1.000 states/eV per cell.


(5)
## Al2SeBr (SCAN)

Data for a crystal of Al2SeBr relaxed with PBEsol.

The space group is I-4m2 (No. 119) and the conventional cell measures 3.857, 3.857 and 12.262 Å, with angles of 90.00, 90.00 and 90.00 degrees. The asymmetric unit holds Al at (0.000, 0.000, 0.000), Al at (0.000, 0.500, 0.250), Se at (0.000, 0.500, 0.750) and Br at (0.000, 0.000, 0.500).

The uncorrected formation energy comes out at 28 meV per atom. For the distance to the lowest polymorph of the same formula, the calculation gives 222 meV/atom. The density of states at the Fermi level comes out at 2.327 states/eV per cell.


(6)
## AlSeBr7 (SCAN)

Data for a crystal of AlSeBr7 relaxed with PBEsol.

The space group is Pc (No. 7) and the conventional cell measures 7.245, 6.624 and 13.175 Å, with angles of 90.00, 102.84 and 90.00 degrees. The asymmetric unit holds Al at (0.000, 0.001, 0.000), Se at (0.332, 0.396, 0.147), Br at (0.283, 0.382, 0.778), Br at (0.294, 0.088, 0.967), Br at (0.529, 0.158, 0.254), Br at (0.572, 0.433, 0.585), Br at (0.764, 0.154, 0.876), Br at (0.965, 0.344, 0.496) and Br at (0.997, 0.138, 0.162).

The uncorrected formation energy comes out at -638 meV per atom. The density of states at the Fermi level comes out at 0.000 states/eV per cell.